ErAlCo2 | PBE | relaxed

Geometry as CIF:
```
data_ErAlCo2
_cell_length_a 3.0953
_cell_length_b 3.0953
_cell_length_c 6.1779
_cell_angle_alpha 90.00
_cell_angle_beta 90.00
_cell_angle_gamma 90.00
_space_group_name_H-M_alt 'P 4/m m m'
_space_group_IT_number 123
_space_group_name_Hall '-P 4 2'
loop_
_atom_site_label
_atom_site_fract_x
_atom_site_fract_y
_atom_site_fract_z
Er1 0.0000 0.0000 0.0000
Al1 0.0000 0.0000 0.5000
Co1 0.5000 0.5000 0.2891
```



ErAl2Co9 | PBE | relaxed

Geometry as CIF:
```
data_ErAl2Co9
_cell_length_a 8.0315
_cell_length_b 8.0315
_cell_length_c 4.6835
_cell_angle_alpha 90.00
_cell_angle_beta 90.00
_cell_angle_gamma 90.00
_space_group_name_H-M_alt 'P 4/m b m'
_space_group_IT_number 127
_space_group_name_Hall '-P 4 2ab'
loop_
_atom_site_label
_atom_site_fract_x
_atom_site_fract_y
_atom_site_fract_z
Er1 0.0000 0.0000 0.0000
Al1 0.1212 0.3788 0.0000
Co1 0.0000 0.5000 0.5000
Co2 0.0674 0.2096 0.5000
Co3 0.1761 0.6761 0.2346
```



Er3Al3Co2 | PBE | relaxed

Geometry as CIF:
```
data_Er3Al3Co2
_cell_length_a 7.3565
_cell_length_b 14.8682
_cell_length_c 5.6969
_cell_angle_alpha 90.00
_cell_angle_beta 90.00
_cell_angle_gamma 90.00
_space_group_name_H-M_alt 'P n m a'
_space_group_IT_number 62
loop_
_space_group_symop_operation_xyz
'x,y,z'
'-x,-y,-z'
'-x+1/2,-y,z+1/2'
'x+1/2,y,-z+1/2'
'x+1/2,-y+1/2,-z+1/2'
'-x+1/2,y+1/2,z+1/2'
'-x,y+1/2,-z'
'x,-y+1/2,z'
loop_
_atom_site_label
_atom_site_fract_x
_atom_site_fract_y
_atom_site_fract_z
Er1 0.0323 0.1081 0.1052
Er2 0.1675 0.2500 0.6369
Al1 0.1608 0.0357 0.5975
Al2 0.1763 0.7500 0.6199
Co1 0.1363 0.6075 0.3754
```



ErAl6Co | PBE | relaxed

Geometry as CIF:
```
data_ErAl6Co
_cell_length_a 5.8905
_cell_length_b 5.8905
_cell_length_c 15.9482
_cell_angle_alpha 90.00
_cell_angle_beta 90.00
_cell_angle_gamma 120.00
_space_group_name_H-M_alt 'R -3 m'
_space_group_IT_number 166
_space_group_name_Hall '-R 3 2"'
loop_
_atom_site_label
_atom_site_fract_x
_atom_site_fract_y
_atom_site_fract_z
Er1 0.0000 0.0000 0.0000
Al1 0.0264 0.5132 0.9158
Co1 0.0000 0.0000 0.5000
```



| no. | DOS at the Fermi energy (states/eV per atom) | E_form (eV per atom) |
| --- | --- | --- |
| 1 | 0.511 | -0.28 |
| 2 | 1.208 | -0.25 |
| 3 | 0.899 | -0.43 |
| 4 | 0.560 | -0.03 |